Version A
The following is a GGA-PBE calculation of a relaxed structure of TaAs2WBr, from the Alexandria database.

Cell and atoms, written as CIF:
```
data_TaAs2WBr
_chemical_formula_sum 'Ta1 As2 W1 Br1'
_cell_length_a 4.878
_cell_length_b 4.878
_cell_length_c 5.050
_cell_angle_alpha 90.00
_cell_angle_beta 90.00
_cell_angle_gamma 90.00
_space_group_name_H-M_alt 'P 1'
_space_group_IT_number 1
_space_group_name_Hall 'P 1'
loop_
_atom_site_label
_atom_site_type_symbol
_atom_site_fract_x
_atom_site_fract_y
_atom_site_fract_z
As1 As 0.000 0.500 0.000
W1 W 0.000 0.000 0.000
As2 As 0.500 0.000 0.000
Br1 Br 0.000 0.000 0.500
Ta1 Ta 0.500 0.500 0.500
```

As for the crystal system: tetragonal. The mass density comes out at 8.2 Mg/m³.


Version B
The following is a GGA-PBE calculation of a relaxed structure of TaAs2WBr, from the Alexandria database.

Cell and atoms, written as CIF:
```
data_TaAs2WBr
_chemical_formula_sum 'Ta1 As2 W1 Br1'
_cell_length_a 5.059
_cell_length_b 5.059
_cell_length_c 4.945
_cell_angle_alpha 90.00
_cell_angle_beta 90.00
_cell_angle_gamma 90.00
_space_group_name_H-M_alt 'P 1'
_space_group_IT_number 1
_space_group_name_Hall 'P 1'
loop_
_atom_site_label
_atom_site_type_symbol
_atom_site_fract_x
_atom_site_fract_y
_atom_site_fract_z
Br1 Br 0.000 0.000 0.500
Ta1 Ta 0.000 0.000 0.000
As1 As 0.500 0.000 0.000
As2 As 0.000 0.500 0.000
W1 W 0.500 0.500 0.500
```

As for the crystal system: tetragonal. The mass density comes out at 7.8 Mg/m³.


Here are the energies relative to the best structure, in kJ/mol of atoms: version A 2.9; version B 0.0.


Version A
The following is a GGA-PBE calculation of a relaxed structure of YTaAsBr2, from the Alexandria database.

Cell and atoms, written as CIF:
```
data_YTaAsBr2
_chemical_formula_sum 'Y1 Ta1 As1 Br2'
_cell_length_a 5.306
_cell_length_b 5.306
_cell_length_c 5.808
_cell_angle_alpha 90.00
_cell_angle_beta 90.00
_cell_angle_gamma 90.00
_space_group_name_H-M_alt 'P 1'
_space_group_IT_number 1
_space_group_name_Hall 'P 1'
loop_
_atom_site_label
_atom_site_type_symbol
_atom_site_fract_x
_atom_site_fract_y
_atom_site_fract_z
Br1 Br 0.500 0.000 0.000
Br2 Br 0.000 0.500 0.000
Ta1 Ta 0.500 0.500 0.500
Y1 Y 0.000 0.000 0.000
As1 As 0.000 0.000 0.500
```

As for the crystal system: tetragonal. The mass density comes out at 5.1 Mg/m³.


Version B
The following is a GGA-PBE calculation of a relaxed structure of YTaAsBr2, from the Alexandria database.

Cell and atoms, written as CIF:
```
data_YTaAsBr2
_chemical_formula_sum 'Y1 Ta1 As1 Br2'
_cell_length_a 5.048
_cell_length_b 5.048
_cell_length_c 5.168
_cell_angle_alpha 90.00
_cell_angle_beta 90.00
_cell_angle_gamma 90.00
_space_group_name_H-M_alt 'P 1'
_space_group_IT_number 1
_space_group_name_Hall 'P 1'
loop_
_atom_site_label
_atom_site_type_symbol
_atom_site_fract_x
_atom_site_fract_y
_atom_site_fract_z
Ta1 Ta 0.000 0.000 0.000
Y1 Y 0.500 0.500 0.500
Br1 Br 0.500 0.000 0.000
As1 As 0.000 0.000 0.500
Br2 Br 0.000 0.500 0.000
```

As for the crystal system: tetragonal. The mass density comes out at 6.4 Mg/m³.


Here are the energies relative to the best structure, in kJ/mol of atoms: version A 42.4; version B 0.0.


Version A
The following is a GGA-PBE calculation of a relaxed structure of YTaAs2Br, from the Alexandria database.

Cell and atoms, written as CIF:
```
data_YTaAs2Br
_chemical_formula_sum 'Y1 Ta1 As2 Br1'
_cell_length_a 5.063
_cell_length_b 5.063
_cell_length_c 4.967
_cell_angle_alpha 90.00
_cell_angle_beta 90.00
_cell_angle_gamma 90.00
_space_group_name_H-M_alt 'P 1'
_space_group_IT_number 1
_space_group_name_Hall 'P 1'
loop_
_atom_site_label
_atom_site_type_symbol
_atom_site_fract_x
_atom_site_fract_y
_atom_site_fract_z
Ta1 Ta 0.000 0.000 0.000
As1 As 0.500 0.000 0.000
Br1 Br 0.000 0.000 0.500
Y1 Y 0.500 0.500 0.500
As2 As 0.000 0.500 0.000
```

As for the crystal system: tetragonal. The mass density comes out at 6.5 Mg/m³.


Version B
The following is a GGA-PBE calculation of a relaxed structure of YTaAs2Br, from the Alexandria database.

Cell and atoms, written as CIF:
```
data_YTaAs2Br
_chemical_formula_sum 'Y1 Ta1 As2 Br1'
_cell_length_a 5.409
_cell_length_b 5.409
_cell_length_c 5.232
_cell_angle_alpha 90.00
_cell_angle_beta 90.00
_cell_angle_gamma 90.00
_space_group_name_H-M_alt 'P 1'
_space_group_IT_number 1
_space_group_name_Hall 'P 1'
loop_
_atom_site_label
_atom_site_type_symbol
_atom_site_fract_x
_atom_site_fract_y
_atom_site_fract_z
As1 As 0.000 0.500 0.000
Y1 Y 0.000 0.000 0.000
Br1 Br 0.000 0.000 0.500
As2 As 0.500 0.000 0.000
Ta1 Ta 0.500 0.500 0.500
```

As for the crystal system: tetragonal. The mass density comes out at 5.4 Mg/m³.


Here are the energies relative to the best structure, in kJ/mol of atoms: version A 0.0; version B 95.5.


Version A
The following is a GGA-PBE calculation of a relaxed structure of TaZnAs2Br, from the Alexandria database.

Cell and atoms, written as CIF:
```
data_TaZnAs2Br
_chemical_formula_sum 'Ta1 Zn1 As2 Br1'
_cell_length_a 4.723
_cell_length_b 4.723
_cell_length_c 5.045
_cell_angle_alpha 90.00
_cell_angle_beta 90.00
_cell_angle_gamma 90.00
_space_group_name_H-M_alt 'P 1'
_space_group_IT_number 1
_space_group_name_Hall 'P 1'
loop_
_atom_site_label
_atom_site_type_symbol
_atom_site_fract_x
_atom_site_fract_y
_atom_site_fract_z
Ta1 Ta 0.500 0.500 0.500
Zn1 Zn 0.000 0.000 0.000
As1 As 0.000 0.500 0.000
As2 As 0.500 0.000 0.000
Br1 Br 0.000 0.000 0.500
```

As for the crystal system: tetragonal. The mass density comes out at 7.0 Mg/m³.


Version B
The following is a GGA-PBE calculation of a relaxed structure of TaZnAs2Br, from the Alexandria database.

Cell and atoms, written as CIF:
```
data_TaZnAs2Br
_chemical_formula_sum 'Ta1 Zn1 As2 Br1'
_cell_length_a 5.012
_cell_length_b 5.012
_cell_length_c 5.260
_cell_angle_alpha 90.00
_cell_angle_beta 90.00
_cell_angle_gamma 90.00
_space_group_name_H-M_alt 'P 1'
_space_group_IT_number 1
_space_group_name_Hall 'P 1'
loop_
_atom_site_label
_atom_site_type_symbol
_atom_site_fract_x
_atom_site_fract_y
_atom_site_fract_z
As1 As 0.000 0.500 0.000
Br1 Br 0.000 0.000 0.500
As2 As 0.500 0.000 0.000
Zn1 Zn 0.500 0.500 0.500
Ta1 Ta 0.000 0.000 0.000
```

As for the crystal system: tetragonal. The mass density comes out at 6.0 Mg/m³.


Here are the energies relative to the best structure, in kJ/mol of atoms: version A 78.0; version B 0.0.


Version A
The following is a GGA-PBE calculation of a relaxed structure of ZrTaAs2Br, from the Alexandria database.

Cell and atoms, written as CIF:
```
data_ZrTaAs2Br
_chemical_formula_sum 'Zr1 Ta1 As2 Br1'
_cell_length_a 5.196
_cell_length_b 5.196
_cell_length_c 5.075
_cell_angle_alpha 90.00
_cell_angle_beta 90.00
_cell_angle_gamma 90.00
_space_group_name_H-M_alt 'P 1'
_space_group_IT_number 1
_space_group_name_Hall 'P 1'
loop_
_atom_site_label
_atom_site_type_symbol
_atom_site_fract_x
_atom_site_fract_y
_atom_site_fract_z
Zr1 Zr 0.000 0.000 0.000
As1 As 0.500 0.000 0.000
Br1 Br 0.000 0.000 0.500
Ta1 Ta 0.500 0.500 0.500
As2 As 0.000 0.500 0.000
```

As for the crystal system: tetragonal. The mass density comes out at 6.1 Mg/m³.


Version B
The following is a GGA-PBE calculation of a relaxed structure of ZrTaAs2Br, from the Alexandria database.

Cell and atoms, written as CIF:
```
data_ZrTaAs2Br
_chemical_formula_sum 'Zr1 Ta1 As2 Br1'
_cell_length_a 5.003
_cell_length_b 5.003
_cell_length_c 5.009
_cell_angle_alpha 90.00
_cell_angle_beta 90.00
_cell_angle_gamma 90.00
_space_group_name_H-M_alt 'P 1'
_space_group_IT_number 1
_space_group_name_Hall 'P 1'
loop_
_atom_site_label
_atom_site_type_symbol
_atom_site_fract_x
_atom_site_fract_y
_atom_site_fract_z
Ta1 Ta 0.000 0.000 0.000
As1 As 0.500 0.000 0.000
As2 As 0.000 0.500 0.000
Zr1 Zr 0.500 0.500 0.500
Br1 Br 0.000 0.000 0.500
```

As for the crystal system: tetragonal. The mass density comes out at 6.6 Mg/m³.


Here are the energies relative to the best structure, in kJ/mol of atoms: version A 38.1; version B 0.0.


Version A
The following is a GGA-PBE calculation of a relaxed structure of Tc2AsBr2, from the Alexandria database.

Cell and atoms, written as CIF:
```
data_Tc2AsBr2
_chemical_formula_sum 'Tc4 As2 Br4'
_cell_length_a 6.416
_cell_length_b 6.416
_cell_length_c 5.069
_cell_angle_alpha 90.00
_cell_angle_beta 90.00
_cell_angle_gamma 90.00
_space_group_name_H-M_alt 'P 1'
_space_group_IT_number 1
_space_group_name_Hall 'P 1'
loop_
_atom_site_label
_atom_site_type_symbol
_atom_site_fract_x
_atom_site_fract_y
_atom_site_fract_z
Tc1 Tc 0.374 0.874 0.000
Tc2 Tc 0.126 0.374 0.000
As1 As 0.500 0.500 0.000
Tc3 Tc 0.626 0.126 0.000
Br1 Br 0.184 0.316 0.500
As2 As 0.000 0.000 0.000
Br2 Br 0.684 0.184 0.500
Br3 Br 0.816 0.684 0.500
Tc4 Tc 0.874 0.626 0.000
Br4 Br 0.316 0.816 0.500
```

As for the crystal system: tetragonal. The mass density comes out at 6.9 Mg/m³.


Version B
The following is a GGA-PBE calculation of a relaxed structure of Tc2AsBr2, from the Alexandria database.

Cell and atoms, written as CIF:
```
data_Tc2AsBr2
_chemical_formula_sum 'Tc2 As1 Br2'
_cell_length_a 4.248
_cell_length_b 4.248
_cell_length_c 6.461
_cell_angle_alpha 70.81
_cell_angle_beta 70.81
_cell_angle_gamma 90.00
_space_group_name_H-M_alt 'P 1'
_space_group_IT_number 1
_space_group_name_Hall 'P 1'
loop_
_atom_site_label
_atom_site_type_symbol
_atom_site_fract_x
_atom_site_fract_y
_atom_site_fract_z
Br1 Br 0.750 0.250 0.500
Br2 Br 0.250 0.750 0.500
As1 As 0.000 0.000 0.000
Tc1 Tc 0.405 0.405 0.189
Tc2 Tc 0.595 0.595 0.811
```

As for the crystal system: tetragonal. The mass density comes out at 6.9 Mg/m³.


Here are the energies relative to the best structure, in kJ/mol of atoms: version A 0.0; version B 49.3.